No. 1
VASP calculation (PBE) on SnAs2CSe after structural relaxation.

Summary:
As for the total energy: -3.09 eV per atom. As for the space-group type: No. 123. The total magnetization is 0.0430 μB per atom. The calculation puts the polymorph energy (0 for the lowest one) at 6.02 eV per formula unit. Its energy relative to the elements, uncorrected is 10.6 eV per formula unit.

```
SnAs2CSe
1.0
-2.992 2.932 3.282
3.201 -1.274 4.056
2.980 4.197 -1.033
Se C As Sn
1 1 2 1
direct
0.000 0.000 0.500
0.500 0.500 0.500
0.500 0.000 0.000
0.000 0.500 0.000
0.000 0.000 0.000
```

No. 2
VASP calculation (PBE) on RbTmCd2 after structural relaxation.

Summary:
As for the total energy: -1.87 eV per atom. The formation energy is -0.0565 eV per atom. As for the space-group type: No. 123. The total magnetization is 0.0000 μB per atom.

```
RbTmCd2
1.0
3.851 0.000 0.000
0.000 3.851 0.000
0.000 0.000 8.739
Cd Rb Tm
2 1 1
direct
0.000 0.000 0.188
0.000 0.000 0.812
0.500 0.500 0.500
0.500 0.500 0.000
```

No. 3
VASP calculation (PBE) on Tl4HgF12 after structural relaxation.

Summary:
As for the total energy: -3.61 eV per atom. As for the space-group type: No. 71. The total magnetization is 0.0000 μB per atom. Its energy relative to the elements, uncorrected is -29.2 eV per formula unit.

```
Tl4HgF12
1.0
7.064 -0.021 -2.664
-3.464 6.240 -2.461
-0.110 0.021 7.549
F Tl Hg
12 4 1
direct
0.055 0.732 0.324
0.176 0.270 0.446
0.698 0.896 0.198
0.824 0.270 0.094
0.698 0.501 0.802
0.408 0.732 0.676
0.592 0.268 0.324
0.302 0.499 0.198
0.824 0.730 0.554
0.176 0.730 0.906
0.302 0.104 0.802
0.945 0.268 0.676
0.500 0.500 0.500
0.000 0.500 0.000
0.000 0.000 0.500
0.500 0.000 0.000
0.000 0.500 0.500
```

No. 4
VASP calculation (PBE) on TbNdY2 after structural relaxation.

Summary:
As for the total energy: -5.57 eV per atom. The formation energy is 0.0164 eV per atom. As for the space-group type: No. 160. The total magnetization is 0.0000 μB per atom. The calculation puts the polymorph energy (0 for the lowest one) at 0.00 eV per formula unit.

```
TbNdY2
1.0
-1.539 1.291 3.007
-2.286 -2.067 1.892
7.628 -4.330 7.939
Nd Y Tb
1 2 1
direct
0.500 0.500 0.499
0.251 0.251 0.246
0.082 0.082 0.754
0.666 0.666 0.001
```

No. 5
VASP calculation (PBE) on Er19Tm4Th6 after structural relaxation.

Summary:
As for the total energy: -5.06 eV per atom. The formation energy is 0.0815 eV per atom. As for the space-group type: No. 1. The total magnetization is 0.0000 μB per atom.

```
Er19Tm4Th6
1.0
10.682 -0.875 -3.415
-6.404 9.642 -4.040
0.062 -0.881 10.029
Er Tm Th
19 4 6
direct
0.573 0.749 0.581
0.775 0.649 0.784
0.040 0.291 0.383
0.973 0.050 0.987
0.243 0.195 0.587
0.310 0.775 0.993
0.440 0.595 0.786
0.706 0.572 0.387
0.774 0.151 0.783
0.175 0.451 0.186
0.305 0.273 0.987
0.444 0.098 0.790
0.036 0.789 0.383
0.836 0.892 0.182
0.513 0.178 0.192
0.106 0.875 0.791
0.178 0.955 0.192
0.709 0.072 0.383
0.109 0.373 0.787
0.906 0.970 0.584
0.976 0.552 0.981
0.647 0.001 0.988
0.372 0.348 0.387
0.578 0.251 0.588
0.913 0.475 0.579
0.504 0.673 0.187
0.379 0.854 0.391
0.839 0.396 0.182
0.642 0.496 0.990
```

No. 6
VASP calculation (PBE) on YRe2Pt after structural relaxation.

Summary:
As for the total energy: -9.25 eV per atom. The formation energy is 0.0992 eV per atom. As for the space-group type: No. 71. The total magnetization is 0.0000 μB per atom. The calculation puts the polymorph energy (0 for the lowest one) at 0.93 eV per formula unit.

```
YRe2Pt
1.0
5.982 0.007 0.003
3.426 4.904 -0.003
-4.099 -3.614 2.433
Y Re Pt
1 2 1
direct
0.250 0.750 0.500
0.972 0.972 0.000
0.528 0.528 0.000
0.750 0.250 0.500
```

No. 7
VASP calculation (PBE) on IrW3Au after structural relaxation.

Summary:
As for the total energy: -7.33 eV per atom. The formation energy is 2.8710 eV per atom. As for the space-group type: No. 221. The total magnetization is 0.0000 μB per atom. The calculation puts the polymorph energy (0 for the lowest one) at 4.89 eV per formula unit.

```
IrW3Au
1.0
4.749 0.000 0.000
0.000 4.749 0.000
0.000 0.000 4.749
Au W Ir
1 3 1
direct
0.000 0.000 0.000
0.000 0.500 0.000
0.000 0.000 0.500
0.500 0.000 0.000
0.500 0.500 0.500
```

No. 8
VASP calculation (PBE) on Pr4Ho5In after structural relaxation.

Summary:
As for the total energy: -4.56 eV per atom. The formation energy is -0.0826 eV per atom. As for the space-group type: No. 123. The total magnetization is 0.0000 μB per atom. The calculation puts the polymorph energy (0 for the lowest one) at 0.00 eV per formula unit.

```
Pr4Ho5In
1.0
-1.784 -2.565 1.846
2.053 0.672 2.917
-16.199 16.702 7.554
Ho Pr In
5 4 1
direct
0.500 0.500 0.500
0.500 0.500 0.707
0.500 0.500 0.083
0.500 0.500 0.293
0.500 0.500 0.917
0.000 0.000 0.813
0.000 0.000 0.396
0.000 0.000 0.604
0.000 0.000 0.187
0.000 0.000 0.000
```

No. 9
VASP calculation (PBE) on BaGa2Se after structural relaxation.

Summary:
As for the total energy: -3.57 eV per atom. As for the space-group type: No. 122. The total magnetization is 0.0000 μB per atom. The calculation puts the polymorph energy (0 for the lowest one) at 0.00 eV per formula unit. Its energy relative to the elements, uncorrected is -2.8 eV per formula unit.

```
BaGa2Se
1.0
4.686 0.000 0.000
0.000 4.686 0.000
2.343 2.343 10.928
Se Ga Ba
2 4 2
direct
0.250 0.750 0.500
0.500 0.500 0.000
0.875 0.729 0.750
0.271 0.625 0.250
0.375 0.521 0.750
0.479 0.125 0.250
0.750 0.250 0.500
0.000 0.000 0.000
```

No. 10
VASP calculation (PBE) on P2PtSeO after structural relaxation.

Summary:
As for the total energy: -4.41 eV per atom. As for the space-group type: No. 123. The total magnetization is 0.0000 μB per atom. The calculation puts the polymorph energy (0 for the lowest one) at 1.00 eV per formula unit. Its energy relative to the elements, uncorrected is 3.3 eV per formula unit.

```
P2PtSeO
1.0
4.783 0.000 0.000
0.000 4.783 0.000
0.000 0.000 3.555
P O Pt Se
2 1 1 1
direct
0.000 0.500 0.000
0.500 0.000 0.000
0.000 0.000 0.500
0.500 0.500 0.500
0.000 0.000 0.000
```

No. 11
VASP calculation (PBE) on La4Pm5Mg2 after structural relaxation.

Summary:
As for the total energy: -4.18 eV per atom. The formation energy is 0.0583 eV per atom. As for the space-group type: No. 10. The total magnetization is 0.0000 μB per atom. The calculation puts the polymorph energy (0 for the lowest one) at 0.07 eV per formula unit.

```
La4Pm5Mg2
1.0
-0.139 -1.761 3.066
-5.401 -6.071 -3.732
9.882 -5.733 -2.843
Pm La Mg
5 4 2
direct
0.000 0.206 0.169
0.000 0.572 0.293
0.000 0.500 0.000
0.000 0.794 0.831
0.000 0.428 0.707
0.500 0.714 0.547
0.500 0.854 0.115
0.500 0.146 0.885
0.500 0.286 0.453
0.000 0.948 0.370
0.000 0.052 0.630
```

No. 12
VASP calculation (PBE) on CeCuPd2 after structural relaxation.

Summary:
As for the total energy: -5.60 eV per atom. The formation energy is -0.4991 eV per atom. As for the space-group type: No. 166. The total magnetization is 0.1879 μB per atom.

```
CeCuPd2
1.0
-2.372 2.218 2.938
-4.292 0.582 -0.641
-3.091 -2.990 3.025
Cu Pd Ce
1 2 1
direct
0.000 0.000 0.000
0.717 0.717 0.850
0.283 0.283 0.150
0.500 0.500 0.500
```